## Sr2LiH6Os (GGA-PBE)

Data for Sr2LiH6Os after structural relaxation.

Calculated values
Volume = 127.2 Å³/f.u.
Theoretical density = 4.94 g cm⁻³
Total magnetic moment = 0.68 μB per formula unit
Calculated total energy = -4.11 eV per atom

Unit cell a=5.3876 b=5.3876 c=5.0612 alpha=90.00 beta=90.00 gamma=120.00
Space group P-3m1 (No. 164)
Inequivalent atoms, fractional coordinates:
Sr1 0.3333 0.6667 0.2911 [2 per cell]
Li1 0.0000 0.0000 0.0000 [1 per cell]
H1 0.1514 0.3029 0.7066 [6 per cell]
Os1 0.0000 0.0000 0.5000 [1 per cell]

---

## LiTa2HOs (GGA-PBE)

Data for LiTa2HOs after structural relaxation.

Calculated values
Volume = 64.2 Å³/f.u.
Theoretical density = 14.49 g cm⁻³
Total magnetic moment = 0.00 μB per formula unit
Calculated total energy = -8.07 eV per atom

Unit cell a=4.2371 b=4.2371 c=3.5753 alpha=90.00 beta=90.00 gamma=90.00
Space group P4/mmm (No. 123)
Inequivalent atoms, fractional coordinates:
Li1 0.0000 0.0000 0.0000 [1 per cell]
Ta1 0.0000 0.5000 0.5000 [2 per cell]
H1 0.0000 0.0000 0.5000 [1 per cell]
Os1 0.5000 0.5000 0.0000 [1 per cell]

---

## LiTl2H6Os (GGA-PBE)

Data for LiTl2H6Os after structural relaxation.

Calculated values
Volume = 127.0 Å³/f.u.
Theoretical density = 8.00 g cm⁻³
Total magnetic moment = 0.94 μB per formula unit
Calculated total energy = -3.74 eV per atom

Unit cell a=5.3711 b=5.3711 c=5.0852 alpha=90.00 beta=90.00 gamma=120.00
Space group P-3m1 (No. 164)
Inequivalent atoms, fractional coordinates:
Li1 0.0000 0.0000 0.0000 [1 per cell]
Tl1 0.3333 0.6667 0.7303 [2 per cell]
H1 0.1489 0.2978 0.2968 [6 per cell]
Os1 0.0000 0.0000 0.5000 [1 per cell]

---

## LiVHOs2 (GGA-PBE)

Data for LiVHOs2 after structural relaxation.

Calculated values
Volume = 53.8 Å³/f.u.
Theoretical density = 13.56 g cm⁻³
Total magnetic moment = 0.00 μB per formula unit
Calculated total energy = -7.28 eV per atom

Unit cell a=4.0959 b=4.0959 c=3.2080 alpha=90.00 beta=90.00 gamma=90.00
Space group P4/mmm (No. 123)
Inequivalent atoms, fractional coordinates:
Li1 0.0000 0.0000 0.0000 [1 per cell]
V1 0.5000 0.5000 0.0000 [1 per cell]
H1 0.0000 0.0000 0.5000 [1 per cell]
Os1 0.0000 0.5000 0.5000 [2 per cell]

---

## LiY2HOs (GGA-PBE)

Data for LiY2HOs after structural relaxation.

Calculated values
Volume = 84.3 Å³/f.u.
Theoretical density = 7.40 g cm⁻³
Total magnetic moment = 0.00 μB per formula unit
Calculated total energy = -6.12 eV per atom

Unit cell a=4.8287 b=4.8287 c=3.6171 alpha=90.00 beta=90.00 gamma=90.00
Space group P4/mmm (No. 123)
Inequivalent atoms, fractional coordinates:
Li1 0.0000 0.0000 0.0000 [1 per cell]
Y1 0.0000 0.5000 0.5000 [2 per cell]
H1 0.0000 0.0000 0.5000 [1 per cell]
Os1 0.5000 0.5000 0.0000 [1 per cell]

---

## Li2ZnH6Os (GGA-PBE)

Data for Li2ZnH6Os after structural relaxation.

Calculated values
Volume = 101.1 Å³/f.u.
Theoretical density = 4.53 g cm⁻³
Total magnetic moment = 0.00 μB per formula unit
Calculated total energy = -3.92 eV per atom

Unit cell a=4.8799 b=4.9173 c=4.9200 alpha=60.12 beta=82.70 gamma=81.85
Space group P1 (No. 1)
Inequivalent atoms, fractional coordinates:
Li1 0.0000 0.0000 0.0000 [1 per cell]
Li2 0.0176 0.6467 0.6879 [1 per cell]
Zn1 0.5114 0.3450 0.2760 [1 per cell]
H1 0.1902 0.5970 0.3405 [1 per cell]
H2 0.2147 0.2875 0.0452 [1 per cell]
H3 0.2173 0.0345 0.6133 [1 per cell]
H4 0.7890 0.3456 0.6306 [1 per cell]
H5 0.8083 0.6428 0.0697 [1 per cell]
H6 0.8258 0.0281 0.3881 [1 per cell]
Os1 0.0071 0.3251 0.3390 [1 per cell]

---

## LiZr2HOs (GGA-PBE)

Data for LiZr2HOs after structural relaxation.

Calculated values
Volume = 72.2 Å³/f.u.
Theoretical density = 8.75 g cm⁻³
Total magnetic moment = 0.00 μB per formula unit
Calculated total energy = -7.03 eV per atom

Unit cell a=4.6195 b=4.6195 c=3.3853 alpha=90.00 beta=90.00 gamma=90.00
Space group P4/mmm (No. 123)
Inequivalent atoms, fractional coordinates:
Li1 0.0000 0.0000 0.0000 [1 per cell]
Zr1 0.0000 0.5000 0.5000 [2 per cell]
H1 0.0000 0.0000 0.5000 [1 per cell]
Os1 0.5000 0.5000 0.0000 [1 per cell]

---

## LiPH (GGA-PBE)

Data for LiPH after structural relaxation.

Calculated values
Volume = 41.5 Å³/f.u.
Theoretical density = 1.56 g cm⁻³
Total magnetic moment = 0.00 μB per formula unit
Calculated total energy = -3.76 eV per atom

Unit cell a=2.7313 b=4.0227 c=4.2628 alpha=71.29 beta=89.99 gamma=70.39
Space group P1 (No. 1)
Inequivalent atoms, fractional coordinates:
Li1 0.0000 0.0000 0.0000 [1 per cell]
P1 0.4449 0.1130 0.4682 [1 per cell]
H1 0.2502 0.5095 0.4086 [1 per cell]

---

Repeat the second record exactly.
## LiTa2HOs (GGA-PBE)

Data for LiTa2HOs after structural relaxation.

Calculated values
Volume = 64.2 Å³/f.u.
Theoretical density = 14.49 g cm⁻³
Total magnetic moment = 0.00 μB per formula unit
Calculated total energy = -8.07 eV per atom

Unit cell a=4.2371 b=4.2371 c=3.5753 alpha=90.00 beta=90.00 gamma=90.00
Space group P4/mmm (No. 123)
Inequivalent atoms, fractional coordinates:
Li1 0.0000 0.0000 0.0000 [1 per cell]
Ta1 0.0000 0.5000 0.5000 [2 per cell]
H1 0.0000 0.0000 0.5000 [1 per cell]
Os1 0.5000 0.5000 0.0000 [1 per cell]

---

Copy entry 1 word for word.
## Sr2LiH6Os (GGA-PBE)

Data for Sr2LiH6Os after structural relaxation.

Calculated values
Volume = 127.2 Å³/f.u.
Theoretical density = 4.94 g cm⁻³
Total magnetic moment = 0.68 μB per formula unit
Calculated total energy = -4.11 eV per atom

Unit cell a=5.3876 b=5.3876 c=5.0612 alpha=90.00 beta=90.00 gamma=120.00
Space group P-3m1 (No. 164)
Inequivalent atoms, fractional coordinates:
Sr1 0.3333 0.6667 0.2911 [2 per cell]
Li1 0.0000 0.0000 0.0000 [1 per cell]
H1 0.1514 0.3029 0.7066 [6 per cell]
Os1 0.0000 0.0000 0.5000 [1 per cell]